Density functional theory data (PBE-GGA) for a geometry-optimized Ni2AgOs structure.

abc: 8.4751 2.6210 4.9845
angles: 90.00 97.33 90.00
Fractional positions:
1 Ni 0.2445 0.0000 0.2138
2 Ni 0.2555 0.5000 0.7862
3 Ni 0.7445 0.5000 0.2138
4 Ni 0.7555 0.0000 0.7862
5 Ag 0.0000 0.0000 0.5000
6 Ag 0.5000 0.5000 0.5000
7 Os 0.0000 0.5000 0.0000
8 Os 0.5000 0.0000 0.0000

The symmetry is No. 12. The size of the total moment comes out at 0.00 μB/atom. The energy relative to the elements comes out at 0.397 eV/atom.